Below is a relaxed structure of KBa2V2O6, with properties calculated at the PBE with a Hubbard U level.

a b c (Å): 6.1523 6.1523 7.5746
angles (deg): 66.04 66.04 60.00
Last column: magnetic moment on the atom in μB.
Fractional positions:
V (0.5707, 0.5707, 0.2879)  0.43
O (0.2695, 0.7618, 0.6993)  -0.01
O (0.7305, 0.2382, 0.3007)  -0.01
V (0.4293, 0.4293, 0.7121)  0.43
O (0.7618, 0.2695, 0.6993)  -0.01
Ba (0.7967, 0.7967, 0.6100)  0.00
K (0.0000, 0.0000, 0.0000)  0.00
O (0.2382, 0.7305, 0.3007)  -0.01
O (0.7305, 0.7305, 0.3007)  -0.01
O (0.2695, 0.2695, 0.6993)  -0.01
Ba (0.2033, 0.2033, 0.3900)  0.00

Output
Raw total energy ... -6.589 eV/atom